No. 1
First-principles (PBE) data for an optimized crystal structure of SrAg2F8, as listed in the Alexandria database.

**Energy**: -3.881 eV/atom
**SG**: I422, No. 97
**Formation energy without anion corrections**: -1.848 eV/atom

a b c (Å): 5.7235 5.7235 6.9747
angles (deg): 114.22 114.22 90.00
Last column: nearest neighbours and their distance in Å.
Positions (direct):
1 F 0.3107 0.4619 0.2600  1 Ag 1.96
2 F 0.5381 0.6893 0.7400  1 Ag 1.96
3 F 0.9494 0.7981 0.2600  1 Ag 1.96
4 F 0.2019 0.0506 0.7400  1 Ag 1.96
5 F 0.6893 0.2019 0.7400  1 Ag 1.96
6 F 0.4619 0.9494 0.2600  1 Ag 1.96
7 F 0.7981 0.3107 0.2600  1 Ag 1.96
8 F 0.0506 0.5381 0.7400  1 Ag 1.96
9 Ag 0.2500 0.7500 0.5000  4 F 1.96
10 Ag 0.7500 0.2500 0.5000  4 F 1.96
11 Sr 0.5000 0.5000 0.0000  8 F 2.54

---

No. 2
First-principles (PBE) data for an optimized crystal structure of Al2SbMo, as listed in the Alexandria database.

**Energy**: -5.221 eV/atom
**SG**: F-43m, No. 216
**Formation energy without anion corrections**: 0.388 eV/atom

a b c (Å): 4.6617 4.6617 4.6617
angles (deg): 60.00 60.00 60.00
Last column: nearest neighbours and their distance in Å.
Positions (direct):
1 Mo 0.5000 0.5000 0.5000  4 Sb 2.85, 4 Al 2.85
2 Sb 0.7500 0.7500 0.7500  4 Mo 2.85, 4 Al 2.85
3 Al 0.2500 0.2500 0.2500  4 Mo 2.85, 4 Al 2.85
4 Al 0.0000 0.0000 0.0000  4 Sb 2.85, 4 Al 2.85

---

No. 3
First-principles (PBE) data for an optimized crystal structure of TmTh2Sc5, as listed in the Alexandria database.

**Energy**: -6.336 eV/atom
**SG**: I4/mmm, No. 139
**Energy above the lowest structure with this stoichiometry**: 0.00 kcal/mol of atoms

a b c (Å): 6.6859 6.6861 6.6884
angles (deg): 118.45 118.45 92.69
Last column: nearest neighbours and their distance in Å.
Positions (direct):
1 Sc 0.7779 0.2781 0.0000  6 Sc 3.34-3.42, 2 Tm 3.34, 4 Th 3.34
2 Sc 0.2778 0.7778 0.0000  2 Tm 3.34, 6 Sc 3.34-3.42, 4 Th 3.34
3 Sc 0.2780 0.2779 0.5001  4 Th 3.34, 6 Sc 3.34-3.42, 2 Tm 3.34
4 Sc 0.7779 0.7777 0.4999  4 Th 3.34, 6 Sc 3.34-3.42, 2 Tm 3.34
5 Sc 0.2777 0.2777 0.0000  8 Sc 3.34-3.35, 4 Th 3.42
6 Th 0.2780 0.7780 0.5002  10 Sc 3.34-3.42, 2 Tm 3.42
7 Th 0.7778 0.2779 0.4998  10 Sc 3.34-3.42, 2 Tm 3.42
8 Tm 0.7779 0.7779 0.0000  8 Sc 3.34, 4 Th 3.42

---

No. 4
First-principles (PBE) data for an optimized crystal structure of LaHgAu2, as listed in the Alexandria database.

**Energy**: -3.500 eV/atom
**SG**: R3m, No. 160

a b c (Å): 5.5305 5.5305 5.5305
angles (deg): 52.88 52.88 52.88
Last column: nearest neighbours and their distance in Å.
Positions (direct):
1 Au 0.2913 0.2913 0.2913  3 Au 2.84, 1 Hg 3.18
2 Au 0.9593 0.9593 0.9593  3 Au 2.84
3 La 0.7346 0.7346 0.7346  4 Hg 3.13-3.27, 7 Au 3.20-3.25
4 Hg 0.5148 0.5148 0.5148  4 La 3.13-3.27, 7 Au 3.18-3.25

---

No. 5
First-principles (PBE) data for an optimized crystal structure of CaZn2In, as listed in the Alexandria database.

**Energy**: -1.984 eV/atom
**SG**: P4mm, No. 99

a b c (Å): 3.4709 3.4724 7.3286
angles (deg): 90.00 90.00 90.00
Last column: nearest neighbours and their distance in Å.
Positions (direct):
1 Zn 0.5000 0.5000 0.1978  4 Zn 2.73, 1 In 2.97
2 Zn 0.0000 0.0000 0.0335  4 Zn 2.73, 4 In 3.02
3 In 0.5000 0.5000 0.7930  5 Zn 2.97-3.02
4 Ca 0.0000 0.0000 0.4758  5 Zn 3.19-3.24, 4 In 3.38, 4 Ca 3.47

---

No. 6
First-principles (PBE) data for an optimized crystal structure of NbI3, as listed in the Alexandria database.

**Energy**: -3.977 eV/atom
**SG**: Imm2, No. 44
**Formation energy without anion corrections**: -0.297 eV/atom

a b c (Å): 3.5818 7.4759 7.4558
angles (deg): 120.09 103.90 90.00
Last column: nearest neighbours and their distance in Å.
Positions (direct):
1 Nb 0.0000 0.0417 0.0000  6 I 2.83
2 I 0.6530 0.0482 0.3059  2 Nb 2.83
3 I 0.5000 0.3346 0.0000  2 Nb 2.83
4 I 0.3470 0.7422 0.6941  2 Nb 2.83

---

No. 7
First-principles (PBE) data for an optimized crystal structure of Er3CdB, as listed in the Alexandria database.

**Energy**: -4.379 eV/atom
**SG**: Pm-3m, No. 221

a b c (Å): 5.0026 5.0026 5.0026
angles (deg): 90.00 90.00 90.00
Last column: nearest neighbours and their distance in Å.
Positions (direct):
1 Er 0.0000 0.0000 0.5000  2 B 2.50
2 Er 0.0000 0.5000 0.0000  2 B 2.50
3 Er 0.5000 0.0000 0.0000  2 B 2.50
4 Cd 0.5000 0.5000 0.5000  12 Er 3.54
5 B 0.0000 0.0000 0.0000  6 Er 2.50

---

No. 8
First-principles (PBE) data for an optimized crystal structure of CrCuAs2Br, as listed in the Alexandria database.

**Energy**: -4.392 eV/atom
**SG**: P4/mmm, No. 123
**Formation energy without anion corrections**: 0.546 eV/atom
**Energy above the lowest structure with this stoichiometry**: 0.00 kcal/mol of atoms

a b c (Å): 4.5846 4.5846 5.3909
angles (deg): 90.00 90.00 90.00
Last column: nearest neighbours and their distance in Å.
Positions (direct):
1 As 0.5000 0.0000 0.0000  2 Cr 2.29
2 As 0.0000 0.5000 0.0000  2 Cr 2.29
3 Cr 0.0000 0.0000 0.0000  4 As 2.29
4 Br 0.0000 0.0000 0.5000  2 Cr 2.70
5 Cu 0.5000 0.5000 0.5000  4 Br 3.24, 8 As 3.54

---

No. 9
First-principles (PBE) data for an optimized crystal structure of RbUMnS4, as listed in the Alexandria database.

**Energy**: -6.408 eV/atom
**SG**: Imma, No. 74
**Formation energy without anion corrections**: -0.988 eV/atom

a b c (Å): 7.7913 8.2513 8.4702
angles (deg): 120.88 90.00 118.17
Last column: nearest neighbours and their distance in Å.
Positions (direct):
1 U 0.5000 0.0000 0.0000  6 S 2.65-2.67
2 U 0.5000 0.0000 0.5000  6 S 2.65-2.67
3 Mn 0.5000 0.5000 0.5000  4 S 2.53
4 Mn 0.0000 0.5000 0.5000  4 S 2.53
5 S 0.7192 0.4384 0.2830  2 Mn 2.53, 1 U 2.65
6 S 0.7192 0.4384 0.6554  2 Mn 2.53, 1 U 2.65
7 S 0.2808 0.5616 0.7170  2 Mn 2.53, 1 U 2.65
8 S 0.2841 0.9857 0.7428  2 U 2.67, 1 Mn 2.89
9 S 0.7016 0.9857 0.7428  2 U 2.67, 1 Mn 2.89
10 S 0.7159 0.0143 0.2572  2 U 2.67, 1 Mn 2.89
11 S 0.2808 0.5616 0.3446  2 Mn 2.53, 1 U 2.65
12 S 0.2984 0.0143 0.2572  2 U 2.67, 1 Mn 2.89
13 Rb 0.8372 0.6745 0.0872  4 S 3.00-3.03
14 Rb 0.1628 0.3255 0.9128  4 S 3.00-3.03

---

No. 10
First-principles (PBE) data for an optimized crystal structure of RhSe2Cl, as listed in the Alexandria database.

**Energy**: -4.268 eV/atom
**SG**: Pm, No. 6
**Formation energy without anion corrections**: -0.226 eV/atom
**Energy above the lowest structure with this stoichiometry**: 2.63 kcal/mol of atoms

a b c (Å): 3.6484 4.4595 6.9485
angles (deg): 108.16 90.00 90.00
Last column: nearest neighbours and their distance in Å.
Positions (direct):
1 Cl 0.0000 0.6092 0.5851  2 Rh 2.45
2 Rh 0.5000 0.7299 0.8333  4 Se 2.44-2.49, 2 Cl 2.45
3 Se 0.0000 0.8490 0.0792  2 Rh 2.44
4 Se 0.5000 0.3119 0.0025  2 Rh 2.49

---

No. 11
First-principles (PBE) data for an optimized crystal structure of RbV3N, as listed in the Alexandria database.

**Energy**: -3.740 eV/atom
**SG**: Pm-3m, No. 221
**Formation energy without anion corrections**: 3.590 eV/atom
**Energy above the lowest structure with this stoichiometry**: 62.02 kcal/mol of atoms

a b c (Å): 4.4472 4.4472 4.4472
angles (deg): 90.00 90.00 90.00
Last column: nearest neighbours and their distance in Å.
Positions (direct):
1 V 0.0000 0.0000 0.5000  2 Rb 2.22
2 V 0.5000 0.0000 0.0000  2 Rb 2.22
3 V 0.0000 0.5000 0.0000  2 Rb 2.22
4 Rb 0.0000 0.0000 0.0000  6 V 2.22
5 N 0.5000 0.5000 0.5000  12 V 3.14

---

No. 12
First-principles (PBE) data for an optimized crystal structure of Tb5Si2Ge5, as listed in the Alexandria database.

**Energy**: -5.466 eV/atom
**SG**: C2/m, No. 12
**Formation energy without anion corrections**: -0.709 eV/atom

a b c (Å): 4.0967 7.6221 8.9836
angles (deg): 87.53 76.82 74.41
Last column: nearest neighbours and their distance in Å.
Positions (direct):
1 Ge 0.7194 0.2180 0.3432  1 Si 2.43
2 Ge 0.0560 0.7001 0.1878  2 Si 2.47
3 Ge 0.2806 0.7820 0.6568  1 Si 2.43
4 Ge 0.0000 0.0000 0.0000  2 Ge 2.77, 4 Tb 3.05
5 Ge 0.9440 0.2999 0.8122  2 Si 2.47
6 Tb 0.3155 0.2987 0.0703  3 Si 3.01-3.04, 7 Ge 3.05-3.21
7 Tb 0.0000 0.5000 0.5000  4 Si 3.06, 6 Ge 3.13-3.20
8 Tb 0.3679 0.9253 0.3389  5 Ge 2.93-2.99, 1 Si 3.06
9 Tb 0.6321 0.0747 0.6611  5 Ge 2.93-2.99, 1 Si 3.06
10 Tb 0.6845 0.7013 0.9297  3 Si 3.01-3.04, 7 Ge 3.05-3.21
11 Si 0.3821 0.4768 0.7590  3 Ge 2.43-2.47
12 Si 0.6179 0.5232 0.2410  3 Ge 2.43-2.47

---

The highest energy belongs to which entry?
CaZn2In

---

What is the formula in the fourth record?
LaHgAu2

---

Look up the energy of the ninth one.
-6.408 eV/atom